(1)
# AcMg2Rh2 PBE relaxed
# - energy relative to the elements (kJ per mole of atoms) = -32
# - ΔE to the lowest computed polymorph (meV/atom) = 198
# - total energy (eV/atom) = -4.73
# - Fermi-level density of states (states/eV per atom) = 0.51
# - mass density (g/cm³) = 7.2
data_AcMg2Rh2
_chemical_formula_sum 'Ac8 Mg16 Rh16'
_space_group_name_H-M_alt 'F d d d'
_space_group_IT_number 70
_cell_length_a 6.177
_cell_length_b 9.861
_cell_length_c 14.487
_cell_angle_alpha 90.00
_cell_angle_beta 90.00
_cell_angle_gamma 90.00
loop_
_space_group_symop_operation_xyz
'x,y,z'
'-x,-y,-z'
'-x+1/4,-y+1/4,z'
'x+1/4,y+1/4,-z'
'x,-y+1/4,-z+1/4'
'-x,y+1/4,z+1/4'
'-x+1/4,y,-z+1/4'
'x+1/4,-y,z+1/4'
'x,y+1/2,z+1/2'
'-x,-y+1/2,-z+1/2'
'-x+1/4,-y+3/4,z+1/2'
'x+1/4,y+3/4,-z+1/2'
'x,-y+3/4,-z+3/4'
'-x,y+3/4,z+3/4'
'-x+1/4,y+1/2,-z+3/4'
'x+1/4,-y+1/2,z+3/4'
'x+1/2,y,z+1/2'
'-x+1/2,-y,-z+1/2'
'-x+3/4,-y+1/4,z+1/2'
'x+3/4,y+1/4,-z+1/2'
'x+1/2,-y+1/4,-z+3/4'
'-x+1/2,y+1/4,z+3/4'
'-x+3/4,y,-z+3/4'
'x+3/4,-y,z+3/4'
'x+1/2,y+1/2,z'
'-x+1/2,-y+1/2,-z'
'-x+3/4,-y+3/4,z'
'x+3/4,y+3/4,-z'
'x+1/2,-y+3/4,-z+1/4'
'-x+1/2,y+3/4,z+1/4'
'-x+3/4,y+1/2,-z+1/4'
'x+3/4,-y+1/2,z+1/4'
loop_
_atom_site_label
_atom_site_type_symbol
_atom_site_fract_x
_atom_site_fract_y
_atom_site_fract_z
Ac1 Ac 0.125 0.125 0.125
Mg1 Mg 0.125 0.125 0.519
Rh1 Rh 0.125 0.344 0.625

(2)
# Ac4Mg2Rh PBE relaxed
# - energy relative to the elements (kJ per mole of atoms) = -8
# - total energy (eV/atom) = -3.94
# - Fermi-level density of states (states/eV per atom) = 1.38
# - mass density (g/cm³) = 6.2
data_Ac4Mg2Rh
_chemical_formula_sum 'Ac8 Mg4 Rh2'
_space_group_name_H-M_alt 'I 4/m m m'
_space_group_IT_number 139
_space_group_name_Hall '-I 4 2'
_cell_length_a 5.725
_cell_length_b 5.725
_cell_length_c 17.254
_cell_angle_alpha 90.00
_cell_angle_beta 90.00
_cell_angle_gamma 90.00
loop_
_atom_site_label
_atom_site_type_symbol
_atom_site_fract_x
_atom_site_fract_y
_atom_site_fract_z
Ac1 Ac 0.000 0.000 0.175
Ac2 Ac 0.000 0.500 0.000
Mg1 Mg 0.000 0.000 0.374
Rh1 Rh 0.000 0.000 0.000

(3)
# AcMg9Rh2 PBE relaxed
# - energy relative to the elements (kJ per mole of atoms) = -25
# - total energy (eV/atom) = -3.03
# - Fermi-level density of states (states/eV per atom) = 0.60
# - mass density (g/cm³) = 4.1
data_AcMg9Rh2
_chemical_formula_sum 'Ac4 Mg36 Rh8'
_space_group_name_H-M_alt 'I 41/a m d'
_space_group_IT_number 141
_cell_length_a 11.644
_cell_length_b 11.644
_cell_length_c 7.701
_cell_angle_alpha 90.00
_cell_angle_beta 90.00
_cell_angle_gamma 90.00
loop_
_space_group_symop_operation_xyz
'x,y,z'
'-x,-y,-z'
'-y+1/4,x+3/4,z+1/4'
'y+1/4,-x+3/4,-z+1/4'
'-x+1/2,-y,z+1/2'
'x+1/2,y,-z+1/2'
'y+1/4,-x+1/4,z+3/4'
'-y+1/4,x+1/4,-z+3/4'
'x,-y,-z'
'-x,y,z'
'-y+1/4,-x+1/4,-z+3/4'
'y+1/4,x+1/4,z+3/4'
'-x+1/2,y,-z+1/2'
'x+1/2,-y,z+1/2'
'y+1/4,x+3/4,-z+1/4'
'-y+1/4,-x+3/4,z+1/4'
'x+1/2,y+1/2,z+1/2'
'-x+1/2,-y+1/2,-z+1/2'
'-y+3/4,x+1/4,z+3/4'
'y+3/4,-x+1/4,-z+3/4'
'-x,-y+1/2,z'
'x,y+1/2,-z'
'y+3/4,-x+3/4,z+1/4'
'-y+3/4,x+3/4,-z+1/4'
'x+1/2,-y+1/2,-z+1/2'
'-x+1/2,y+1/2,z+1/2'
'-y+3/4,-x+3/4,-z+1/4'
'y+3/4,x+3/4,z+1/4'
'-x,y+1/2,-z'
'x,-y+1/2,z'
'y+3/4,x+1/4,-z+3/4'
'-y+3/4,-x+1/4,z+3/4'
loop_
_atom_site_label
_atom_site_type_symbol
_atom_site_fract_x
_atom_site_fract_y
_atom_site_fract_z
Ac1 Ac 0.000 0.250 0.375
Mg1 Mg 0.000 0.250 0.875
Mg2 Mg 0.123 0.051 0.698
Rh1 Rh 0.000 0.000 0.000